Computed, not measured: an optimized crystal structure of LiB8C8 at the PBE-GGA level of DFT.

Cell: 7.5971 7.5971 7.5971 Å, 40.50 40.50 40.50°
Closest atoms and distances in Å follow each position.
Fractional coordinates of all 17 atoms:
Li  0.0000  0.0000  0.0000  6 C 2.40, 6 B 2.61
B  0.2246  0.7337  0.7337  3 C 1.53-1.64
B  0.2552  0.2552  0.2552  3 C 1.53
B  0.2663  0.2663  0.7754  3 C 1.53-1.64
B  0.2663  0.7754  0.2663  3 C 1.53-1.64
B  0.7337  0.2246  0.7337  3 C 1.53-1.64
B  0.7337  0.7337  0.2246  3 C 1.53-1.64
B  0.7448  0.7448  0.7448  3 C 1.53
B  0.7754  0.2663  0.2663  3 C 1.53-1.64
C  0.0780  0.0780  0.5779  3 B 1.53
C  0.0780  0.5779  0.0780  3 B 1.53
C  0.4221  0.9220  0.9220  3 B 1.53
C  0.4627  0.4627  0.4627  1 C 1.56, 3 B 1.64
C  0.5373  0.5373  0.5373  1 C 1.56, 3 B 1.64
C  0.5779  0.0780  0.0780  3 B 1.53
C  0.9220  0.4221  0.9220  3 B 1.53
C  0.9220  0.9220  0.4221  3 B 1.53

Computed properties:
Energy of formation: 442.4 kJ/mol of formula units

---

Computed, not measured: an optimized crystal structure of LiB3C3 at the PBE-GGA level of DFT.

Cell: 2.7031 2.7031 22.6247 Å, 90.00 90.00 120.00°
Closest atoms and distances in Å follow each position.
Fractional coordinates of all 14 atoms:
Li  0.0000  0.0000  0.1678  6 C 2.34, 6 B 2.38
Li  0.0000  0.0000  0.8322  6 C 2.34, 6 B 2.38
B  0.3333  0.6667  0.2474  3 C 1.56
B  0.3333  0.6667  0.5679  3 C 1.56
B  0.3333  0.6667  0.9117  3 C 1.56
B  0.6667  0.3333  0.0883  3 C 1.56
B  0.6667  0.3333  0.4321  3 C 1.56
B  0.6667  0.3333  0.7526  3 C 1.56
C  0.3333  0.6667  0.0908  3 B 1.56
C  0.3333  0.6667  0.4320  3 B 1.56
C  0.3333  0.6667  0.7552  3 B 1.56
C  0.6667  0.3333  0.2448  3 B 1.56
C  0.6667  0.3333  0.5680  3 B 1.56
C  0.6667  0.3333  0.9092  3 B 1.56

Computed properties:
Energy of formation: 111.0 kJ/mol of formula units

---

Computed, not measured: an optimized crystal structure of LiB8C8 at the PBE-GGA level of DFT.

Cell: 4.7995 5.5282 5.2624 Å, 90.00 96.41 90.00°
Closest atoms and distances in Å follow each position.
Fractional coordinates of all 17 atoms:
Li  0.0000  0.0000  0.0000  6 C 2.34-2.40, 6 B 2.40-2.43
B  0.2272  0.2503  0.3350  3 C 1.58-1.61
B  0.2272  0.7497  0.3350  3 C 1.58-1.61
B  0.2741  0.5000  0.6629  3 C 1.57-1.60
B  0.2841  0.0000  0.6450  3 C 1.59-1.63
B  0.7159  0.0000  0.3550  3 C 1.59-1.63
B  0.7259  0.5000  0.3371  3 C 1.57-1.60
B  0.7728  0.2503  0.6650  3 C 1.58-1.61
B  0.7728  0.7497  0.6650  3 C 1.58-1.61
C  0.1056  0.2503  0.6516  3 B 1.60-1.63
C  0.1056  0.7497  0.6516  3 B 1.60-1.63
C  0.3831  0.0000  0.3177  3 B 1.58-1.59
C  0.3985  0.5000  0.3420  3 B 1.57-1.60
C  0.6015  0.5000  0.6580  3 B 1.57-1.60
C  0.6169  0.0000  0.6823  3 B 1.58-1.59
C  0.8944  0.2503  0.3484  3 B 1.60-1.63
C  0.8944  0.7497  0.3484  3 B 1.60-1.63

Computed properties:
Energy of formation: 336.4 kJ/mol of formula units

---

Computed, not measured: an optimized crystal structure of LiB8C8 at the PBE-GGA level of DFT.

Cell: 6.5216 2.7283 9.2434 Å, 90.00 97.54 90.00°
Closest atoms and distances in Å follow each position.
Fractional coordinates of all 17 atoms:
Li  0.0000  0.0000  0.0000  4 C 2.28, 2 B 2.41
B  0.2873  0.0000  0.8603  3 C 1.56-1.59
B  0.3265  0.5000  0.1014  3 C 1.53-1.59
B  0.3644  0.0000  0.3580  3 C 1.56-1.60
B  0.3773  0.5000  0.6178  3 C 1.56-1.62
B  0.6227  0.5000  0.3822  3 C 1.56-1.62
B  0.6356  0.0000  0.6420  3 C 1.56-1.60
B  0.6735  0.5000  0.8986  3 C 1.53-1.59
B  0.7127  0.0000  0.1397  3 C 1.56-1.59
C  0.2538  0.5000  0.9366  3 B 1.53-1.56
C  0.3687  0.0000  0.1895  3 B 1.56-1.59, 1 C 1.72
C  0.3734  0.5000  0.4491  3 B 1.56-1.60
C  0.3886  0.0000  0.7127  3 B 1.59-1.62, 1 C 1.72
C  0.6114  0.0000  0.2873  3 B 1.59-1.62, 1 C 1.72
C  0.6266  0.5000  0.5509  3 B 1.56-1.60
C  0.6313  0.0000  0.8105  3 B 1.56-1.59, 1 C 1.72
C  0.7462  0.5000  0.0634  3 B 1.53-1.56

Computed properties:
Energy of formation: 329.6 kJ/mol of formula units

---

Computed, not measured: an optimized crystal structure of LiB6C6 at the PBE-GGA level of DFT.

Cell: 6.7125 6.7125 7.8109 Å, 122.74 122.74 23.47°
Closest atoms and distances in Å follow each position.
Fractional coordinates of all 13 atoms:
Li  0.0000  0.0000  0.0000  6 C 2.36-2.46, 6 B 2.38-2.47
B  0.0283  0.0283  0.7128  4 C 1.58-1.74
B  0.3333  0.3333  0.9311  3 C 1.56
B  0.3582  0.3582  0.3576  3 C 1.54-1.60
B  0.6418  0.6418  0.6424  3 C 1.54-1.60
B  0.6667  0.6667  0.0689  3 C 1.56
B  0.9717  0.9717  0.2872  4 C 1.58-1.74
C  0.0711  0.0711  0.5377  4 B 1.60-1.74, 1 C 1.62
C  0.2233  0.2233  0.1758  3 B 1.54-1.56
C  0.4341  0.4341  0.1666  3 B 1.56-1.58
C  0.5659  0.5659  0.8334  3 B 1.56-1.58
C  0.7767  0.7767  0.8242  3 B 1.54-1.56
C  0.9289  0.9289  0.4623  4 B 1.60-1.74, 1 C 1.62

Computed properties:
Energy of formation: 255.3 kJ/mol of formula units

---

Computed, not measured: an optimized crystal structure of LiB8C8 at the PBE-GGA level of DFT.

Cell: 2.6921 2.6921 36.7446 Å, 90.00 90.00 120.00°
Closest atoms and distances in Å follow each position.
Fractional coordinates of all 17 atoms:
Li  0.0000  0.0000  0.0000  6 C 2.32, 6 B 2.36
B  0.3333  0.6667  0.0484  3 C 1.56
B  0.3333  0.6667  0.3123  3 C 1.55
B  0.3333  0.6667  0.5625  3 C 1.55
B  0.3333  0.6667  0.8172  3 C 1.55
B  0.6667  0.3333  0.1828  3 C 1.55
B  0.6667  0.3333  0.4375  3 C 1.55
B  0.6667  0.3333  0.6877  3 C 1.55
B  0.6667  0.3333  0.9516  3 C 1.56
C  0.3333  0.6667  0.1828  3 B 1.55
C  0.3333  0.6667  0.4375  3 B 1.55
C  0.3333  0.6667  0.6877  3 B 1.55
C  0.3333  0.6667  0.9532  3 B 1.56
C  0.6667  0.3333  0.0468  3 B 1.56
C  0.6667  0.3333  0.3123  3 B 1.55
C  0.6667  0.3333  0.5625  3 B 1.55
C  0.6667  0.3333  0.8172  3 B 1.55

Computed properties:
Energy of formation: 688.3 kJ/mol of formula units

---

Computed, not measured: an optimized crystal structure of Li3BC at the PBE-GGA level of DFT.

Cell: 3.9241 3.9241 3.9241 Å, 90.00 90.00 90.00°
Closest atoms and distances in Å follow each position.
Fractional coordinates of all 5 atoms:
Li  0.0000  0.0000  0.5000  2 C 1.96
Li  0.0000  0.5000  0.0000  2 C 1.96
Li  0.5000  0.0000  0.0000  2 C 1.96
B  0.5000  0.5000  0.5000  12 Li 2.77
C  0.0000  0.0000  0.0000  6 Li 1.96

Computed properties:
Energy of formation: 519.8 kJ/mol of formula units

---

Computed, not measured: an optimized crystal structure of LiB8C8 at the PBE-GGA level of DFT.

Cell: 4.8079 2.7650 10.7139 Å, 90.00 98.20 90.00°
Closest atoms and distances in Å follow each position.
Fractional coordinates of all 17 atoms:
Li  0.0000  0.0000  0.0000  6 C 2.35-2.37, 6 B 2.39
B  0.2189  0.5000  0.6761  3 C 1.60
B  0.2226  0.5000  0.1667  3 C 1.60-1.61
B  0.2817  0.0000  0.3222  3 C 1.60
B  0.2851  0.0000  0.8348  3 C 1.57-1.61
B  0.7149  0.0000  0.1652  3 C 1.57-1.61
B  0.7183  0.0000  0.6778  3 C 1.60
B  0.7774  0.5000  0.8333  3 C 1.60-1.61
B  0.7811  0.5000  0.3239  3 C 1.60
C  0.1117  0.5000  0.3191  4 B 1.60-1.79
C  0.1139  0.5000  0.8378  3 B 1.61
C  0.3860  0.0000  0.6769  3 B 1.60
C  0.3875  0.0000  0.1634  3 B 1.57-1.60
C  0.6125  0.0000  0.8366  3 B 1.57-1.60
C  0.6140  0.0000  0.3231  3 B 1.60
C  0.8861  0.5000  0.1622  3 B 1.61
C  0.8883  0.5000  0.6809  4 B 1.60-1.79

Computed properties:
Energy of formation: 354.1 kJ/mol of formula units

---

Computed, not measured: an optimized crystal structure of LiB6C6 at the PBE-GGA level of DFT.

Cell: 6.9814 6.9814 6.6461 Å, 96.15 96.15 22.35°
Closest atoms and distances in Å follow each position.
Fractional coordinates of all 13 atoms:
Li  0.0000  0.0000  0.0000  4 C 2.26, 2 B 2.39
B  0.0904  0.0904  0.7125  3 C 1.55-1.59
B  0.2442  0.2442  0.3790  3 C 1.55-1.63
B  0.4294  0.4294  0.6780  3 C 1.53-1.59
B  0.5706  0.5706  0.3220  3 C 1.53-1.59
B  0.7558  0.7558  0.6210  3 C 1.55-1.63
B  0.9096  0.9096  0.2875  3 C 1.55-1.59
C  0.1307  0.1307  0.3673  3 B 1.55-1.59, 1 C 1.69
C  0.1886  0.1886  0.6048  4 B 1.59-1.76, 1 C 1.69
C  0.4607  0.4607  0.2515  3 B 1.53-1.55
C  0.5393  0.5393  0.7485  3 B 1.53-1.55
C  0.8114  0.8114  0.3952  4 B 1.59-1.76, 1 C 1.69
C  0.8693  0.8693  0.6327  3 B 1.55-1.59, 1 C 1.69

Computed properties:
Energy of formation: 206.6 kJ/mol of formula units

---

- Among the records above, which one has the highest energy of formation?
  number 6